A plane-wave DFT calculation with PBE+U was carried out for crystalline Cs2CrCdF6 at its relaxed geometry.

Unit cell a=6.217 b=6.217 c=6.431 alpha=61.10 beta=61.10 gamma=90.00
Last column: magnetic moment on the atom in μB.
Fractional coordinates of all 10 atoms:
1 F 0.235 0.235 0.531  0.01
2 Cs 0.750 0.250 0.500  0.00
3 F 0.267 0.733 0.000  0.00
4 Cd 0.000 0.000 0.000  0.01
5 Cr 0.500 0.500 0.000  3.80
6 F 0.733 0.267 0.000  0.00
7 F 0.733 0.733 0.000  0.00
8 Cs 0.250 0.750 0.500  0.00
9 F 0.267 0.267 0.000  0.00
10 F 0.765 0.765 0.469  0.01

Values from the calculation:
symmetry	I4/mmm (139)
electronic total energy	-4.7069	eV/atom